Entry from Alexandria: a geometry-optimized Tb2AgIr structure (PBE).

Cell lengths 5.0633, 3.5597, 9.9410 Å; angles 90.00, 90.00, 90.00 degrees
Sites, in units of the cell vectors:
Tb  0.2500  0.0000  0.1117
Tb  0.2500  0.0000  0.6477
Tb  0.7500  0.0000  0.3523
Tb  0.7500  0.0000  0.8883
Ag  0.2500  0.5000  0.3792
Ag  0.7500  0.5000  0.6208
Ir  0.2500  0.5000  0.8752
Ir  0.7500  0.5000  0.1248

energy relative to the lowest polymorph listed for this composition: 0 meV/atom
D(E_F): 3.5 states/eV/cell
total moment: 0.0000 μB/atom
calculated volume: 22.40 A^3/atom
energy of formation: -0.592 eV/atom
space-group type: Pmma (51)
calculated total energy: -5.835 eV per atom